PuGaCo3, relaxed, DFT GGA-PBE; final energy = -7.8240 eV/atom; total moment = 2.212 μB/f.u.; DFT formation energy = -0.089 eV per atom; symmetry = Imma, No. 74; volume = 14.7 Å³ per atom
1.0
-2.9246 -4.0007 -1.1442
5.3394 -2.1926 -5.9811
0.5540 1.1558 5.8466
Co Ga Pu
6 2 2
Cartesian
4.6914 -2.5353 -3.1267
-0.6718 -3.7544 -2.1113
2.1784 -3.2834 0.2605
0.7904 -1.7541 -1.5392
3.6407 -1.2831 0.8326
-1.7226 -2.5022 1.8480
2.6697 -1.0963 -2.9906
-1.4623 -2.0003 -0.5721
0.9354 -0.9929 1.0807
2.0335 -4.0446 -2.3594



Pu2GaCo2, relaxed, DFT GGA-PBE; final energy = -9.2579 eV/atom; total moment = 9.448 μB/f.u.; DFT formation energy = -0.077 eV per atom; symmetry = Cmcm, No. 63; volume = 18.0 Å³ per atom
1.0
-1.2173 -0.3617 -5.0619
5.0335 0.2666 -1.2295
-2.0769 -6.7459 0.9815
Pu Co Ga
4 4 2
Cartesian
2.2854 -1.0546 -1.8194
-0.5461 -5.7863 -3.4906
-0.1131 -2.9658 -1.1060
1.8524 -3.8751 -4.2040
1.3345 -4.9355 -1.3134
3.0286 -1.7665 -4.6375
-1.2893 -5.0745 -0.6725
0.4048 -1.9055 -3.9966
0.0000 0.0000 0.0000
-0.6087 -0.1809 -2.5310



Pu4Ga16Co3, relaxed, DFT GGA-PBE; final energy = -5.9249 eV/atom; total moment = 20.855 μB/f.u.; DFT formation energy = -0.400 eV per atom; symmetry = P4/mmm, No. 123; volume = 17.7 Å³ per atom
1.0
-0.9983 0.5745 5.9393
5.3164 -2.6488 1.1498
4.9721 9.9254 -0.1244
Ga Co Pu
16 3 4
Cartesian
3.5535 -1.7489 2.4869
5.6411 1.9614 2.3010
2.4876 3.5711 4.6928
1.2055 -0.5791 1.9791
6.8026 4.2800 2.2719
3.1669 0.9748 3.5194
2.9861 3.2842 1.7268
3.6491 5.8897 4.6638
5.1426 2.2483 5.2670
3.8879 7.7611 -0.0973
6.3041 4.5669 5.2380
0.7647 -0.3254 4.6022
6.1233 6.8764 3.4454
4.1476 5.6028 1.6977
3.1126 -1.4952 5.1100
1.0842 2.1643 -0.0271
1.9869 5.2500 2.9075
5.1442 3.6383 0.5127
0.0000 0.0000 0.0000
3.6128 0.5812 0.5510
0.4555 2.1929 2.9458
6.6756 6.6954 0.4744
3.5183 8.3070 2.8692